# PmV2ReO8 (GGA+U, relaxed)
data_PmV2ReO8
_chemical_formula_sum 'Pm1 V2 Re1 O8'
_cell_length_a 4.742
_cell_length_b 4.742
_cell_length_c 6.470
_cell_angle_alpha 90.00
_cell_angle_beta 90.00
_cell_angle_gamma 92.34
_space_group_name_H-M_alt 'P 1'
_space_group_IT_number 1
loop_
_space_group_symop_operation_xyz
'x,y,z'
loop_
_atom_site_label
_atom_site_type_symbol
_atom_site_fract_x
_atom_site_fract_y
_atom_site_fract_z
_atom_site_occupancy
Pm1 Pm 0.000 0.000 0.000 1
V1 V 0.500 0.500 0.246 1
V2 V 0.500 0.500 0.754 1
Re1 Re 0.000 0.000 0.500 1
O1 O 0.213 0.213 0.289 1
O2 O 0.213 0.213 0.711 1
O3 O 0.284 0.716 0.500 1
O4 O 0.329 0.671 0.000 1
O5 O 0.671 0.329 0.000 1
O6 O 0.716 0.284 0.500 1
O7 O 0.787 0.787 0.289 1
O8 O 0.787 0.787 0.711 1
# ρ ... 6.4 g/cm3
# Space-group type ... No. 65
# Uncorrected energy ... -8.071 eV per atom
# V ... 145.4 Å³ per cell